Record 1
This record from Alexandria via LeMat-Bulk describes a relaxed structure of ScTiCoRh. The functional is GGA-PBE.

Energy relative to the lowest polymorph listed for this composition   0 meV/atom
Formation energy from the elements   -0.6385 eV/atom
Density of states at the Fermi level   2.50 states/eV/cell

abc: 3.059 3.059 6.436
angles: 90.00 90.00 90.00
Fractional positions:
1 Sc 0.000 0.000 0.000
2 Ti 0.000 0.000 0.524
3 Co 0.500 0.500 0.733
4 Rh 0.500 0.500 0.278

***

Record 2
This record from Alexandria via LeMat-Bulk describes a relaxed structure of Pr6SmHg. The functional is GGA-PBE.

Energy relative to the lowest polymorph listed for this composition   399 meV/atom
Formation energy from the elements   0.3299 eV/atom
Density of states at the Fermi level   13.39 states/eV/cell

abc: 6.689 6.695 9.054
angles: 111.57 90.12 119.88
Fractional positions:
1 Pr 0.034 0.349 0.283
2 Pr 0.188 0.255 0.718
3 Pr 0.430 0.968 0.283
4 Pr 0.570 0.032 0.717
5 Pr 0.812 0.745 0.282
6 Pr 0.966 0.651 0.717
7 Sm 0.500 0.500 0.500
8 Hg 0.000 0.500 0.000